V2As2Ru | PBE-GGA | relaxed

a = 6.815 Å, b = 6.815 Å, c = 3.190 Å
α = 90.00°, β = 90.00°, γ = 90.00°
Positions (direct):
V  0.137  0.363  0.000
V  0.363  0.863  0.000
V  0.637  0.137  0.000
V  0.863  0.637  0.000
As  0.162  0.662  0.500
As  0.338  0.162  0.500
As  0.662  0.838  0.500
As  0.838  0.338  0.500
Ru  0.000  0.000  0.000
Ru  0.500  0.500  0.000

Symmetry: No. 127
Formation enthalpy at 0 K in eV per atom: 0.0271
Relative energy among the computed polymorphs in eV/atom: 0.207
Raw total energy in eV/atom: -7.3353

***

V2AsRu | PBE-GGA | relaxed

a = 3.211 Å, b = 3.211 Å, c = 5.413 Å
α = 90.00°, β = 90.00°, γ = 90.00°
Positions (direct):
V  0.000  0.000  0.234
V  0.000  0.000  0.766
As  0.500  0.500  0.000
Ru  0.500  0.500  0.500

Symmetry: No. 123
Formation enthalpy at 0 K in eV per atom: -0.1663
Raw total energy in eV/atom: -8.2070